Entry 1:
Material: ZnBAu2
Method: DFT, PBE
State: optimized geometry

Results
calculated formation energy = 0.412 eV/atom
space-group type = I-42d (122)

Unit cell a=5.726 b=5.726 c=6.244 alpha=62.71 beta=62.71 gamma=90.00
Positions (direct):
Zn 0.000 0.000 0.000
Zn 0.750 0.250 0.500
B 0.500 0.500 0.000
B 0.250 0.750 0.500
Au 0.551 0.125 0.250
Au 0.199 0.625 0.250
Au 0.375 0.449 0.750
Au 0.875 0.801 0.750

***

Entry 2:
Material: ZnBAu3
Method: DFT, PBE
State: optimized geometry

Results
calculated formation energy = 0.303 eV/atom
space-group type = Pm-3m (221)

Unit cell a=4.389 b=4.389 c=4.389 alpha=90.00 beta=90.00 gamma=90.00
Positions (direct):
Zn 0.500 0.500 0.500
B 0.000 0.000 0.000
Au 0.000 0.500 0.000
Au 0.000 0.000 0.500
Au 0.500 0.000 0.000

***

Entry 3:
Material: ZnBAu2
Method: DFT, PBE
State: optimized geometry

Results
calculated formation energy = 0.625 eV/atom
space-group type = Fm-3m (225)

Unit cell a=4.366 b=4.366 c=4.366 alpha=60.00 beta=60.00 gamma=60.00
Positions (direct):
Zn 0.500 0.500 0.500
B 0.000 0.000 0.000
Au 0.250 0.250 0.250
Au 0.750 0.750 0.750

***

Entry 4:
Material: Zn2BAu2
Method: DFT, PBE
State: optimized geometry

Results
calculated formation energy = 0.335 eV/atom
space-group type = P4/mbm (127)

Unit cell a=6.112 b=6.112 c=4.284 alpha=90.00 beta=90.00 gamma=90.00
Positions (direct):
Zn 0.145 0.645 0.500
Zn 0.645 0.855 0.500
Zn 0.855 0.355 0.500
Zn 0.355 0.145 0.500
B 0.000 0.000 0.000
B 0.500 0.500 0.000
Au 0.315 0.815 0.000
Au 0.815 0.685 0.000
Au 0.685 0.185 0.000
Au 0.185 0.315 0.000

***

Entry 5:
Material: ZnBAu3
Method: DFT, PBE
State: optimized geometry

Results
calculated formation energy = 1.300 eV/atom
space-group type = Pm-3m (221)

Unit cell a=4.840 b=4.840 c=4.840 alpha=90.00 beta=90.00 gamma=90.00
Positions (direct):
Zn 0.000 0.000 0.000
B 0.500 0.500 0.500
Au 0.000 0.500 0.000
Au 0.000 0.000 0.500
Au 0.500 0.000 0.000

***

Entry 6:
Material: Zn2BAu
Method: DFT, PBE
State: optimized geometry

Results
calculated formation energy = 0.226 eV/atom
space-group type = I-42d (122)

Unit cell a=8.183 b=8.183 c=6.202 alpha=48.72 beta=48.72 gamma=90.00
Positions (direct):
Zn 0.374 0.125 0.250
Zn 0.376 0.625 0.250
Zn 0.375 0.626 0.750
Zn 0.875 0.624 0.750
B 0.500 0.500 0.000
B 0.250 0.750 0.500
Au 0.000 0.000 0.000
Au 0.750 0.250 0.500

***

Entry 7:
Material: Zn2BAu2
Method: DFT, PBE
State: optimized geometry

Results
calculated formation energy = 0.395 eV/atom
space-group type = P4/mbm (127)

Unit cell a=5.675 b=5.675 c=5.215 alpha=90.00 beta=90.00 gamma=90.00
Positions (direct):
Zn 0.276 0.776 0.000
Zn 0.776 0.724 0.000
Zn 0.724 0.224 0.000
Zn 0.224 0.276 0.000
B 0.000 0.000 0.000
B 0.500 0.500 0.000
Au 0.179 0.679 0.500
Au 0.679 0.821 0.500
Au 0.821 0.321 0.500
Au 0.321 0.179 0.500

***

Entry 8:
Material: ZrBAu3
Method: DFT, PBE
State: optimized geometry

Results
calculated formation energy = 1.582 eV/atom
space-group type = Pm-3m (221)

Unit cell a=5.282 b=5.282 c=5.282 alpha=90.00 beta=90.00 gamma=90.00
Positions (direct):
B 0.500 0.500 0.500
Au 0.000 0.500 0.000
Au 0.000 0.000 0.500
Au 0.500 0.000 0.000
Zr 0.000 0.000 0.000

***

| no. | DOS at the Fermi energy (states/eV per atom) | magnetization (μB per formula unit) | energy relative to the lowest polymorph listed for this composition (meV per atom) |
| --- | --- | --- | --- |
| 1 | 0.288 | 0.00 | 0 |
| 2 | 0.516 | 0.00 | 0 |
| 3 | 0.261 | 0.00 | 213 |
| 4 | 0.354 | 0.00 | 0 |
| 5 | 0.291 | 0.00 | 997 |
| 6 | 0.000 | 0.00 | 0 |
| 7 | 0.175 | 0.00 | 60 |
| 8 | 1.112 | 0.00 | 1484 |